The following is a PBE-GGA calculation of a geometry-optimized BaSiOs structure, from OQMD via LeMat-Bulk.

a b c (Å): 4.940 4.940 4.940
angles (deg): 60.00 60.00 60.00
Sites, in units of the cell vectors:
Ba: 0.000 0.000 0.000
Si: 0.250 0.250 0.250
Os: 0.750 0.750 0.750

The value obtained for the total energy is -4.197 eV/atom.